Record 1
Below is Er2P7Rh12 after structural relaxation, with properties calculated at the PBEsol level.

The space group is P-3 (No. 147) and the conventional cell measures 9.4653, 9.4653 and 3.7931 Å, with angles of 90.00, 90.00 and 120.00 degrees. The distinct sites, in fractional coordinates, are Er at (0.3333, 0.6667, 0.2495), P at (0.0000, 0.0000, 0.5000), P at (0.1197, 0.4064, 0.7536), Rh at (0.0677, 0.6184, 0.7497) and Rh at (0.1108, 0.8493, 0.2485).

The calculation puts the density at 10.078 g/cm³.

Record 2
Below is ErP2Ru2 after structural relaxation, with properties calculated at the PBEsol level.

The space group is I4/mmm (No. 139) and the conventional cell measures 3.995, 3.995 and 9.396 Å, with angles of 90.00, 90.00 and 90.00 degrees. The distinct sites, in fractional coordinates, are Er at (0.000, 0.000, 0.000), P at (0.000, 0.000, 0.377) and Ru at (0.000, 0.500, 0.250).

The calculation puts the density at 9.555 g/cm³.

no.,DFT formation energy (eV per atom),E_tot (eV per cell)
1,-0.992,-168.88
2,-1.087,-84.58